PuSc2Ti: relaxed, PBE-GGA. Values from VASP.

Quantum ESPRESSO input file:
```
&SYSTEM
  ibrav = 0, nat = 4, ntyp = 3
/
ATOMIC_SPECIES
Pu 244.00 Pu.upf
Sc 44.96 Sc.upf
Ti 47.87 Ti.upf
CELL_PARAMETERS angstrom
3.1148 0.0000 0.0000
0.0000 3.1148 0.0000
0.0000 0.0000 9.3272
ATOMIC_POSITIONS angstrom
Pu 0.0000 0.0000 0.0000
Sc 1.5574 1.5574 2.5722
Sc 1.5574 1.5574 6.7551
Ti 0.0000 0.0000 4.6636
```

Computed properties:
- crystal system = tetragonal
- E_form (kJ/mol of formula units) = 52
- uncorrected energy (eV per atom) = -8.59
- DOS at the Fermi energy (states/eV/f.u.) = 10.0